Density functional theory data (PBE) for a geometry-optimized NbGeAu2S structure.

Summary:
Formation energy without anion corrections = 787 meV per atom
Calculated volume = 112 Å³/cell
Theoretical density = 8.77 g cm⁻³

a = 4.791 Å, b = 4.878 Å, c = 4.791 Å
α = 90.00°, β = 90.00°, γ = 90.00°
Each line ends with the local moment (μB).
Fractional positions:
S  0.000  0.500  0.000  -0.15
Nb  0.500  0.500  0.500  2.42
Au  0.000  0.000  0.500  -0.04
Au  0.500  0.000  0.000  -0.03
Ge  0.000  0.000  0.000  -0.04

---

Density functional theory data (PBE) for a geometry-optimized TbCu5 structure.

Summary:
Calculated volume = 90 Å³/cell
Formation enthalpy at 0 K = -0.1863 eV per atom
Theoretical density = 8.77 g cm⁻³

a = 5.037 Å, b = 4.106 Å, c = 5.038 Å
α = 90.00°, β = 120.02°, γ = 90.00°
Fractional positions:
Tb  0.917  0.000  0.000
Cu  0.250  0.000  0.667
Cu  0.583  0.000  0.333
Cu  0.417  0.500  0.000
Cu  0.917  0.500  0.500
Cu  0.417  0.500  0.500

---

Density functional theory data (PBE) for a geometry-optimized BaGe2MoP structure.

Summary:
Calculated volume = 120 Å³/cell
Formation enthalpy at 0 K = -0.2091 eV per atom
Theoretical density = 5.68 g cm⁻³

a = 4.998 Å, b = 4.797 Å, c = 4.998 Å
α = 90.00°, β = 90.00°, γ = 90.00°
Fractional positions:
P  0.000  0.500  0.000
Mo  0.000  0.000  0.000
Ge  0.000  0.000  0.500
Ge  0.500  0.000  0.000
Ba  0.500  0.500  0.500

---

Density functional theory data (PBE) for a geometry-optimized KCrOs2 structure.

Summary:
Calculated volume = 65 Å³/cell
Formation enthalpy at 0 K = 0.6943 eV per atom
Relative energy among the computed polymorphs = 0.00 eV per formula unit
Theoretical density = 12.01 g cm⁻³

a = 10.169 Å, b = 10.169 Å, c = 10.169 Å
α = 15.47°, β = 15.47°, γ = 15.47°
Fractional positions:
Cr  0.250  0.250  0.250
K  0.750  0.750  0.750
Os  0.984  0.984  0.984
Os  0.516  0.516  0.516

---

Density functional theory data (PBE) for a geometry-optimized ZnNiP structure.

Summary:
Calculated volume = 41 Å³/cell
Formation enthalpy at 0 K = -0.0444 eV per atom
Theoretical density = 6.24 g cm⁻³

a = 5.874 Å, b = 5.874 Å, c = 5.874 Å
α = 153.15°, β = 153.15°, γ = 38.33°
Fractional positions:
Zn  0.647  0.647  0.000
Ni  0.987  0.987  0.000
P  0.366  0.366  0.000

---

Density functional theory data (PBE) for a geometry-optimized PmDyMgTi structure.

Summary:
Calculated volume = 105 Å³/cell
Formation enthalpy at 0 K = 0.1439 eV per atom
Theoretical density = 6.01 g cm⁻³

a = 5.295 Å, b = 5.295 Å, c = 5.295 Å
α = 60.00°, β = 60.00°, γ = 60.00°
Each line ends with the local moment (μB).
Fractional positions:
Mg  0.750  0.750  0.750  -0.01
Pm  0.500  0.500  0.500  0.10
Ti  0.250  0.250  0.250  1.29
Dy  0.000  0.000  0.000  0.18

---

Density functional theory data (PBE) for a geometry-optimized CsLiCd2 structure.

Summary:
Calculated volume = 346 Å³/cell
Formation enthalpy at 0 K = 0.0364 eV per atom
Relative energy among the computed polymorphs = 0.29 eV per formula unit
Theoretical density = 3.50 g cm⁻³

a = 5.997 Å, b = 5.997 Å, c = 10.507 Å
α = 73.42°, β = 73.42°, γ = 90.00°
Fractional positions:
Cs  0.000  0.000  0.000
Cs  0.750  0.250  0.500
Li  0.500  0.500  0.000
Li  0.250  0.750  0.500
Cd  0.375  0.125  0.250
Cd  0.375  0.625  0.250
Cd  0.375  0.625  0.750
Cd  0.875  0.625  0.750

---

Density functional theory data (PBE) for a geometry-optimized Y2Th3Sc3 structure.

Summary:
Calculated volume = 236 Å³/cell
Formation enthalpy at 0 K = 0.1326 eV per atom
Relative energy among the computed polymorphs = 0.72 eV per formula unit
Theoretical density = 7.09 g cm⁻³

a = 3.492 Å, b = 8.841 Å, c = 8.841 Å
α = 120.00°, β = 90.00°, γ = 90.00°
Fractional positions:
Y  0.000  0.667  0.333
Y  0.000  0.333  0.667
Th  0.000  0.000  0.770
Th  0.000  0.770  0.000
Th  0.000  0.230  0.230
Sc  0.500  0.000  0.391
Sc  0.500  0.391  0.000
Sc  0.500  0.609  0.609

---

Please write out number 5 again, unchanged.
Density functional theory data (PBE) for a geometry-optimized ZnNiP structure.

Summary:
Calculated volume = 41 Å³/cell
Formation enthalpy at 0 K = -0.0444 eV per atom
Theoretical density = 6.24 g cm⁻³

a = 5.874 Å, b = 5.874 Å, c = 5.874 Å
α = 153.15°, β = 153.15°, γ = 38.33°
Fractional positions:
Zn  0.647  0.647  0.000
Ni  0.987  0.987  0.000
P  0.366  0.366  0.000